(1)
Cd2TeCl | GGA-PBE | optimized geometry

## Properties
- Size of the total moment: 0.00 μB per atom
- Mass density: 6.49 g/cm³
- Space-group type: No. 225
- Formation energy without anion corrections: -0.28 eV per atom
- Uncorrected energy: -1.987 eV per atom
- Energy above the lowest structure with this stoichiometry: 185 meV/atom
- N(E_F): 7.23 states/eV per cell

Lattice parameters (Å, degrees): 7.348 7.348 7.348 90.00 90.00 90.00
Fractional positions:
1 Cd 0.250 0.250 0.250
2 Cd 0.250 0.250 0.750
3 Cd 0.250 0.750 0.250
4 Cd 0.250 0.750 0.750
5 Cd 0.750 0.250 0.250
6 Cd 0.750 0.250 0.750
7 Cd 0.750 0.750 0.250
8 Cd 0.750 0.750 0.750
9 Te 0.000 0.000 0.000
10 Te 0.000 0.500 0.500
11 Te 0.500 0.000 0.500
12 Te 0.500 0.500 0.000
13 Cl 0.000 0.000 0.500
14 Cl 0.000 0.500 0.000
15 Cl 0.500 0.000 0.000
16 Cl 0.500 0.500 0.500

***

(2)
NaEuBiRh | GGA-PBE | optimized geometry

## Properties
- Size of the total moment: 1.69 μB per atom
- Mass density: 8.89 g/cm³
- Formation energy from the elements: -30.0 kJ per mole of atoms
- Space-group type: No. 216
- Uncorrected energy: -6.017 eV per atom
- N(E_F): 50.67 states/eV per cell

Lattice parameters (Å, degrees): 7.140 7.140 7.140 90.00 90.00 90.00
Fractional positions:
1 Na 0.000 0.000 0.000
2 Na 0.000 0.500 0.500
3 Na 0.500 0.000 0.500
4 Na 0.500 0.500 0.000
5 Eu 0.250 0.250 0.250
6 Eu 0.250 0.750 0.750
7 Eu 0.750 0.250 0.750
8 Eu 0.750 0.750 0.250
9 Bi 0.250 0.250 0.750
10 Bi 0.250 0.750 0.250
11 Bi 0.750 0.250 0.250
12 Bi 0.750 0.750 0.750
13 Rh 0.000 0.000 0.500
14 Rh 0.000 0.500 0.000
15 Rh 0.500 0.000 0.000
16 Rh 0.500 0.500 0.500

***

(3)
MgSiOF2 | GGA-PBE | optimized geometry

## Properties
- Size of the total moment: 0.00 μB per atom
- Mass density: 2.96 g/cm³
- Space-group type: No. 123
- Formation energy without anion corrections: -1.86 eV per atom
- Uncorrected energy: -5.004 eV per atom
- Energy above the lowest structure with this stoichiometry: 0 meV/atom
- N(E_F): 0.00 states/eV per cell

Lattice parameters (Å, degrees): 3.748 3.748 4.247 90.00 90.00 90.00
Fractional positions:
1 Mg 0.000 0.000 0.000
2 Si 0.500 0.500 0.500
3 O 0.000 0.000 0.500
4 F 0.000 0.500 0.000
5 F 0.500 0.000 0.000

***

(4)
Ac2UGe4Ir3 | GGA-PBE | optimized geometry

## Properties
- Size of the total moment: 0.19 μB per atom
- Mass density: 11.95 g/cm³
- Formation energy from the elements: -55.8 kJ per mole of atoms
- Space-group type: No. 115
- Uncorrected energy: -7.034 eV per atom
- N(E_F): 9.42 states/eV per cell

Lattice parameters (Å, degrees): 4.371 4.371 11.342 90.00 90.00 90.00
Fractional positions:
1 Ac 0.000 0.500 0.232
2 Ac 0.500 0.000 0.768
3 U 0.000 0.000 0.500
4 Ge 0.000 0.000 0.000
5 Ge 0.000 0.500 0.666
6 Ge 0.500 0.000 0.334
7 Ge 0.500 0.500 0.000
8 Ir 0.000 0.500 0.888
9 Ir 0.500 0.000 0.112
10 Ir 0.500 0.500 0.500